[1]
Crystalline Y6Mg23 at its relaxed geometry. Source: the Alexandria database, functional PBE.

Values from the calculation:
DOS(E_F) = 22.64 states/eV/cell
total moment = 0.00 μB/f.u.
energy relative to the elements = -0.06 eV/atom

a b c (Å): 10.0723 10.0723 10.0723
angles (deg): 60.00 60.00 60.00
With the nearest neighbours (Å) after each atom.
Fractional coordinates of all 29 atoms:
Y1 0.1937 0.1937 0.8063  12 Mg 3.41-3.65
Y2 0.1937 0.8063 0.1937  12 Mg 3.41-3.65
Y3 0.1937 0.8063 0.8063  12 Mg 3.41-3.65
Y4 0.8063 0.1937 0.1937  12 Mg 3.41-3.65
Y5 0.8063 0.1937 0.8063  12 Mg 3.41-3.65
Y6 0.8063 0.8063 0.1937  12 Mg 3.41-3.65
Mg1 0.0000 0.0000 0.5000  8 Mg 2.91-3.13
Mg2 0.0000 0.5000 0.0000  8 Mg 2.91-3.13
Mg3 0.0000 0.5000 0.5000  8 Mg 2.91-3.13
Mg4 0.1398 0.6201 0.6201  7 Mg 2.96-3.17
Mg5 0.1683 0.1683 0.1683  6 Mg 2.91-3.17
Mg6 0.1683 0.1683 0.4950  6 Mg 2.91-3.17
Mg7 0.1683 0.4950 0.1683  6 Mg 2.91-3.17
Mg8 0.3799 0.3799 0.3799  7 Mg 2.96-3.17
Mg9 0.3799 0.3799 0.8602  7 Mg 2.96-3.17
Mg10 0.3799 0.8602 0.3799  7 Mg 2.96-3.17
Mg11 0.4950 0.1683 0.1683  6 Mg 2.91-3.17
Mg12 0.5000 0.0000 0.0000  8 Mg 2.91-3.13
Mg13 0.5000 0.0000 0.5000  8 Mg 2.91-3.13
Mg14 0.5000 0.5000 0.0000  8 Mg 2.91-3.13
Mg15 0.5000 0.5000 0.5000  8 Mg 2.96
Mg16 0.5050 0.8317 0.8317  6 Mg 2.91-3.17
Mg17 0.6201 0.1398 0.6201  7 Mg 2.96-3.17
Mg18 0.6201 0.6201 0.1398  7 Mg 2.96-3.17
Mg19 0.6201 0.6201 0.6201  7 Mg 2.96-3.17
Mg20 0.8317 0.5050 0.8317  6 Mg 2.91-3.17
Mg21 0.8317 0.8317 0.5050  6 Mg 2.91-3.17
Mg22 0.8317 0.8317 0.8317  6 Mg 2.91-3.17
Mg23 0.8602 0.3799 0.3799  7 Mg 2.96-3.17


[2]
Crystalline CrIn3 at its relaxed geometry. Source: the Alexandria database, functional PBE.

Values from the calculation:
DOS(E_F) = 1.92 states/eV/cell
total moment = 4.27 μB/f.u.
energy relative to the elements = 0.36 eV/atom

a b c (Å): 5.1028 5.1028 5.1028
angles (deg): 60.00 60.00 60.00
With the nearest neighbours (Å) after each atom.
Fractional coordinates of all 4 atoms:
Cr1 0.0000 0.0000 0.0000  8 In 3.12
In1 0.2500 0.2500 0.2500  4 Cr 3.12, 4 In 3.12
In2 0.5000 0.5000 0.5000  8 In 3.12
In3 0.7500 0.7500 0.7500  4 Cr 3.12, 4 In 3.12


[3]
Crystalline CuBi2Br at its relaxed geometry. Source: the Alexandria database, functional PBE.

Values from the calculation:
DOS(E_F) = 6.64 states/eV/cell
total moment = 0.00 μB/f.u.
ΔE_f (raw) = 266 meV/atom

a b c (Å): 8.1973 8.1973 8.1973
angles (deg): 134.11 134.11 66.91
With the nearest neighbours (Å) after each atom.
Fractional coordinates of all 8 atoms:
Cu1 0.0000 0.0000 0.0000  4 Bi 2.58
Cu2 0.7500 0.2500 0.5000  4 Bi 2.58
Bi1 0.0467 0.6250 0.9217  2 Cu 2.58
Bi2 0.3750 0.2967 0.4217  2 Cu 2.58
Bi3 0.7033 0.1250 0.0783  2 Cu 2.58
Bi4 0.8750 0.9533 0.5783  2 Cu 2.58
Br1 0.2500 0.7500 0.5000  4 Bi 3.14
Br2 0.5000 0.5000 0.0000  4 Bi 3.14


DOS(E_F) of number 2 (CrIn3)?
1.92 states/eV/cell


What is the formula in the third record?
CuBi2Br


Look up the total moment of the first one.
0.00 μB/f.u.


What is the total moment in the first record?
0.00 μB/f.u.